{"formula": "YGaO2", "functional": "PBE-GGA", "state": "relaxed", "lattice_angstrom": [[5.574, 0.000, 0.000], [0.000, 5.574, 0.000], [0.000, 0.000, 10.348]], "species": ["Y", "Y", "Y", "Y", "Ga", "Ga", "Ga", "Ga", "O", "O", "O", "O", "O", "O", "O", "O"], "frac_coords": [[0.000, 0.000, 0.000], [0.000, 0.500, 0.250], [0.500, 0.000, 0.750], [0.500, 0.500, 0.500], [0.000, 0.000, 0.500], [0.000, 0.500, 0.750], [0.500, 0.000, 0.250], [0.500, 0.500, 0.000], [0.185, 0.250, 0.125], [0.250, 0.685, 0.375], [0.250, 0.815, 0.875], [0.315, 0.250, 0.625], [0.685, 0.750, 0.625], [0.750, 0.185, 0.875], [0.750, 0.315, 0.375], [0.815, 0.750, 0.125]], "dos_ef_per_ev_cell": 0.00, "e_tot_ev_per_atom": -6.932, "e_form_raw_ev_per_fu": -8.321, "space_group": "No. 122"}

---

{"formula": "LaScTl2", "functional": "PBE-GGA", "state": "relaxed", "lattice_angstrom": [[3.727, 0.000, 0.000], [0.000, 3.761, 0.000], [0.000, 0.000, 7.779]], "species": ["La", "Sc", "Tl", "Tl"], "frac_coords": [[0.000, 0.000, 0.000], [0.000, 0.000, 0.500], [0.500, 0.500, 0.281], [0.500, 0.500, 0.719]], "dos_ef_per_ev_cell": 3.85, "e_tot_ev_per_atom": -4.349, "space_group": "No. 47", "formation_energy_ev_per_atom": -0.351}

---

{"formula": "HfNb2PbW", "functional": "PBE-GGA", "state": "relaxed", "lattice_angstrom": [[5.035, 0.000, 0.000], [0.000, 5.035, 0.000], [0.000, 0.000, 5.143]], "species": ["Hf", "Nb", "Nb", "Pb", "W"], "frac_coords": [[0.000, 0.000, 0.000], [0.000, 0.500, 0.500], [0.500, 0.000, 0.500], [0.000, 0.000, 0.500], [0.500, 0.500, 0.000]], "dos_ef_per_ev_cell": 6.97, "e_tot_ev_per_atom": -6.964, "space_group": "No. 123", "formation_energy_ev_per_atom": 2.387}

---

{"formula": "BaCrCl2", "functional": "PBE-GGA", "state": "relaxed", "lattice_angstrom": [[3.974, 0.000, 0.000], [0.000, 4.088, 0.000], [-0.008, 0.000, 6.583]], "species": ["Ba", "Cr", "Cl", "Cl"], "frac_coords": [[0.000, 0.000, 0.000], [0.500, 0.000, 0.500], [0.499, 0.500, 0.751], [0.501, 0.500, 0.249]], "dos_ef_per_ev_cell": 1.99, "e_tot_ev_per_atom": -4.703, "e_form_raw_ev_per_fu": -3.573, "space_group": "No. 10"}

---

{"formula": "BaSr10Ca2", "functional": "PBE-GGA", "state": "relaxed", "lattice_angstrom": [[0.000, 9.696, 9.743], [3.864, 0.000, 9.743], [3.864, 9.696, 0.000]], "species": ["Ba", "Sr", "Sr", "Sr", "Sr", "Sr", "Sr", "Sr", "Sr", "Sr", "Sr", "Ca", "Ca"], "frac_coords": [[0.000, 0.000, 0.000], [0.000, 0.000, 0.500], [0.004, 0.353, 0.647], [0.284, 0.496, 0.504], [0.353, 0.004, 0.996], [0.496, 0.284, 0.716], [0.500, 0.500, 0.000], [0.504, 0.716, 0.284], [0.647, 0.996, 0.004], [0.716, 0.504, 0.496], [0.996, 0.647, 0.353], [0.000, 0.500, 0.000], [0.500, 0.000, 0.500]], "dos_ef_per_ev_cell": 16.88, "e_tot_ev_per_atom": -1.684, "space_group": "No. 69", "formation_energy_ev_per_atom": 0.065}

---

{"formula": "Sc2CdSe", "functional": "PBE-GGA", "state": "relaxed", "lattice_angstrom": [[7.141, 0.000, 0.000], [0.000, 7.141, 0.000], [0.000, 0.000, 7.141]], "species": ["Sc", "Sc", "Sc", "Sc", "Sc", "Sc", "Sc", "Sc", "Cd", "Cd", "Cd", "Cd", "Se", "Se", "Se", "Se"], "frac_coords": [[0.000, 0.000, 0.000], [0.000, 0.500, 0.500], [0.250, 0.250, 0.250], [0.250, 0.750, 0.750], [0.500, 0.000, 0.500], [0.500, 0.500, 0.000], [0.750, 0.250, 0.750], [0.750, 0.750, 0.250], [0.000, 0.000, 0.500], [0.000, 0.500, 0.000], [0.500, 0.000, 0.000], [0.500, 0.500, 0.500], [0.250, 0.250, 0.750], [0.250, 0.750, 0.250], [0.750, 0.250, 0.250], [0.750, 0.750, 0.750]], "dos_ef_per_ev_cell": 26.23, "e_tot_ev_per_atom": -4.276, "e_form_raw_ev_per_fu": -0.043, "space_group": "No. 216"}

---

{"formula": "MgTi5Mn4", "functional": "PBE-GGA", "state": "relaxed", "lattice_angstrom": [[3.003, 0.000, 0.000], [0.000, 3.003, 0.000], [0.000, 0.000, 16.199]], "species": ["Mg", "Ti", "Ti", "Ti", "Ti", "Ti", "Mn", "Mn", "Mn", "Mn"], "frac_coords": [[0.000, 0.000, 0.000], [0.500, 0.500, 0.139], [0.500, 0.500, 0.316], [0.500, 0.500, 0.500], [0.500, 0.500, 0.684], [0.500, 0.500, 0.861], [0.000, 0.000, 0.220], [0.000, 0.000, 0.408], [0.000, 0.000, 0.592], [0.000, 0.000, 0.780]], "dos_ef_per_ev_cell": 8.59, "e_tot_ev_per_atom": -7.959, "space_group": "No. 123", "formation_energy_ev_per_atom": -0.185}

---

{"formula": "SrPmCu4", "functional": "PBE-GGA", "state": "relaxed", "lattice_angstrom": [[0.000, 3.835, 3.835], [3.835, 0.000, 3.835], [3.835, 3.835, 0.000]], "species": ["Sr", "Pm", "Cu", "Cu", "Cu", "Cu"], "frac_coords": [[0.000, 0.000, 0.000], [0.250, 0.250, 0.250], [0.125, 0.625, 0.625], [0.625, 0.125, 0.625], [0.625, 0.625, 0.125], [0.625, 0.625, 0.625]], "dos_ef_per_ev_cell": 6.08, "e_tot_ev_per_atom": -3.793, "space_group": "No. 216", "formation_energy_ev_per_atom": 0.010}

---

{"formula": "AcUZn2O8", "functional": "PBE-GGA", "state": "relaxed", "lattice_angstrom": [[-3.456, 3.456, 3.638], [3.456, -3.456, 3.638], [3.456, 3.456, -3.638]], "species": ["Ac", "U", "Zn", "Zn", "O", "O", "O", "O", "O", "O", "O", "O"], "frac_coords": [[0.000, 0.000, 0.000], [0.750, 0.250, 0.500], [0.250, 0.750, 0.500], [0.500, 0.500, 0.000], [0.037, 0.376, 0.339], [0.037, 0.697, 0.661], [0.100, 0.305, 0.795], [0.303, 0.963, 0.339], [0.509, 0.305, 0.205], [0.624, 0.963, 0.661], [0.695, 0.491, 0.795], [0.695, 0.900, 0.205]], "dos_ef_per_ev_cell": 8.15, "e_tot_ev_per_atom": -6.750, "e_form_raw_ev_per_fu": -23.384, "space_group": "No. 119"}

---

{"formula": "Ba4Mg", "functional": "PBE-GGA", "state": "relaxed", "lattice_angstrom": [[3.128, -7.649, 0.000], [3.128, 7.649, 0.000], [0.000, 0.000, 11.845]], "species": ["Ba", "Ba", "Ba", "Ba", "Ba", "Ba", "Ba", "Ba", "Mg", "Mg"], "frac_coords": [[0.112, 0.888, 0.864], [0.114, 0.886, 0.382], [0.386, 0.614, 0.382], [0.388, 0.612, 0.864], [0.612, 0.388, 0.136], [0.614, 0.386, 0.618], [0.886, 0.114, 0.618], [0.888, 0.112, 0.136], [0.250, 0.750, 0.116], [0.750, 0.250, 0.884]], "dos_ef_per_ev_cell": 12.79, "e_tot_ev_per_atom": -1.798, "space_group": "No. 67", "formation_energy_ev_per_atom": 0.059}

---

{"formula": "La4TbPr5", "functional": "PBE-GGA", "state": "relaxed", "lattice_angstrom": [[13.252, -1.861, 0.000], [13.252, 1.861, 0.000], [-1.071, 0.000, 7.316]], "species": ["La", "La", "La", "La", "Tb", "Pr", "Pr", "Pr", "Pr", "Pr"], "frac_coords": [[0.098, 0.098, 0.296], [0.300, 0.300, 0.899], [0.700, 0.700, 0.101], [0.902, 0.902, 0.704], [0.500, 0.500, 0.000], [0.099, 0.099, 0.803], [0.301, 0.301, 0.401], [0.500, 0.500, 0.500], [0.699, 0.699, 0.599], [0.901, 0.901, 0.197]], "dos_ef_per_ev_cell": 17.50, "e_tot_ev_per_atom": -4.811, "space_group": "No. 12", "formation_energy_ev_per_atom": 0.012}

---

{"formula": "BaSrB3", "functional": "PBE-GGA", "state": "relaxed", "lattice_angstrom": [[5.082, 0.000, 0.000], [0.000, 5.082, 0.000], [0.000, 0.000, 5.082]], "species": ["Ba", "Sr", "B", "B", "B"], "frac_coords": [[0.000, 0.000, 0.000], [0.500, 0.500, 0.500], [0.000, 0.500, 0.500], [0.500, 0.000, 0.500], [0.500, 0.500, 0.000]], "dos_ef_per_ev_cell": 7.03, "e_tot_ev_per_atom": -2.771, "space_group": "No. 221", "formation_energy_ev_per_atom": 1.957}